Entry 1:
First-principles (SCAN) data for RuWAu2 at its PBEsol-relaxed geometry, as listed in the Alexandria database.

Properties
Energy relative to the lowest polymorph listed for this composition   0.0 kJ/mol of formula units
Energy of formation from the pure elements   0.204 eV per atom
Symmetry   Pmm2, No. 25
DOS(E_F)   0.595 states/eV/atom

Geometry as CIF:
```
data_RuWAu2
_chemical_formula_sum 'Ru1 W1 Au2'
_cell_length_a 2.846
_cell_length_b 3.834
_cell_length_c 5.714
_cell_angle_alpha 90.00
_cell_angle_beta 90.00
_cell_angle_gamma 90.00
_space_group_name_H-M_alt 'P 1'
_space_group_IT_number 1
loop_
_space_group_symop_operation_xyz
'x,y,z'
loop_
_atom_site_label
_atom_site_type_symbol
_atom_site_fract_x
_atom_site_fract_y
_atom_site_fract_z
Ru1 Ru 0.000 0.000 0.000
W1 W 0.500 0.500 0.207
Au1 Au 0.000 0.000 0.475
Au2 Au 0.500 0.500 0.731
```

***

Entry 2:
First-principles (SCAN) data for RuWAu2 at its PBEsol-relaxed geometry, as listed in the Alexandria database.

Properties
Energy relative to the lowest polymorph listed for this composition   156.2 kJ/mol of formula units
Energy of formation from the pure elements   0.609 eV per atom
Symmetry   P4/mmm, No. 123
DOS(E_F)   0.730 states/eV/atom

Geometry as CIF:
```
data_RuWAu2
_chemical_formula_sum 'Ru1 W1 Au2'
_cell_length_a 4.672
_cell_length_b 4.672
_cell_length_c 2.872
_cell_angle_alpha 90.00
_cell_angle_beta 90.00
_cell_angle_gamma 90.00
_space_group_name_H-M_alt 'P 1'
_space_group_IT_number 1
loop_
_space_group_symop_operation_xyz
'x,y,z'
loop_
_atom_site_label
_atom_site_type_symbol
_atom_site_fract_x
_atom_site_fract_y
_atom_site_fract_z
Ru1 Ru 0.000 0.000 0.000
W1 W 0.500 0.500 0.000
Au1 Au 0.000 0.500 0.500
Au2 Au 0.500 0.000 0.500
```

***

Entry 3:
First-principles (SCAN) data for Ru2WAu at its PBEsol-relaxed geometry, as listed in the Alexandria database.

Properties
Energy of formation from the pure elements   0.574 eV per atom
Symmetry   F-43m, No. 216
DOS(E_F)   0.697 states/eV/atom

Geometry as CIF:
```
data_Ru2WAu
_chemical_formula_sum 'Ru2 W1 Au1'
_cell_length_a 4.395
_cell_length_b 4.395
_cell_length_c 4.395
_cell_angle_alpha 60.00
_cell_angle_beta 60.00
_cell_angle_gamma 60.00
_space_group_name_H-M_alt 'P 1'
_space_group_IT_number 1
loop_
_space_group_symop_operation_xyz
'x,y,z'
loop_
_atom_site_label
_atom_site_type_symbol
_atom_site_fract_x
_atom_site_fract_y
_atom_site_fract_z
Ru1 Ru 0.000 0.000 0.000
Ru2 Ru 0.250 0.250 0.250
W1 W 0.500 0.500 0.500
Au1 Au 0.750 0.750 0.750
```

***

Entry 4:
First-principles (SCAN) data for RuWAu2 at its PBEsol-relaxed geometry, as listed in the Alexandria database.

Properties
Energy relative to the lowest polymorph listed for this composition   80.3 kJ/mol of formula units
Energy of formation from the pure elements   0.412 eV per atom
Symmetry   Pmmm, No. 47
DOS(E_F)   0.771 states/eV/atom

Geometry as CIF:
```
data_RuWAu2
_chemical_formula_sum 'Ru1 W1 Au2'
_cell_length_a 2.830
_cell_length_b 4.151
_cell_length_c 5.282
_cell_angle_alpha 90.00
_cell_angle_beta 90.00
_cell_angle_gamma 90.00
_space_group_name_H-M_alt 'P 1'
_space_group_IT_number 1
loop_
_space_group_symop_operation_xyz
'x,y,z'
loop_
_atom_site_label
_atom_site_type_symbol
_atom_site_fract_x
_atom_site_fract_y
_atom_site_fract_z
Ru1 Ru 0.000 0.000 0.000
W1 W 0.000 0.000 0.500
Au1 Au 0.500 0.500 0.251
Au2 Au 0.500 0.500 0.749
```

***

Entry 5:
First-principles (SCAN) data for Y2RuAu at its PBEsol-relaxed geometry, as listed in the Alexandria database.

Properties
Energy of formation from the pure elements   -0.700 eV per atom
Symmetry   Amm2, No. 38
DOS(E_F)   0.846 states/eV/atom

Geometry as CIF:
```
data_Y2RuAu
_chemical_formula_sum 'Y2 Ru1 Au1'
_cell_length_a 4.522
_cell_length_b 5.531
_cell_length_c 5.531
_cell_angle_alpha 38.14
_cell_angle_beta 90.00
_cell_angle_gamma 90.00
_space_group_name_H-M_alt 'P 1'
_space_group_IT_number 1
loop_
_space_group_symop_operation_xyz
'x,y,z'
loop_
_atom_site_label
_atom_site_type_symbol
_atom_site_fract_x
_atom_site_fract_y
_atom_site_fract_z
Y1 Y 0.000 0.000 0.000
Y2 Y 0.500 0.284 0.284
Ru1 Ru 0.000 0.731 0.731
Au1 Au 0.500 0.563 0.563
```

***

Entry 6:
First-principles (SCAN) data for YRuAu at its PBEsol-relaxed geometry, as listed in the Alexandria database.

Properties
Energy of formation from the pure elements   0.125 eV per atom
Symmetry   P3m1, No. 156
DOS(E_F)   0.925 states/eV/atom

Geometry as CIF:
```
data_YRuAu
_chemical_formula_sum 'Y1 Ru1 Au1'
_cell_length_a 3.233
_cell_length_b 3.233
_cell_length_c 6.399
_cell_angle_alpha 90.00
_cell_angle_beta 90.00
_cell_angle_gamma 120.00
_space_group_name_H-M_alt 'P 1'
_space_group_IT_number 1
loop_
_space_group_symop_operation_xyz
'x,y,z'
loop_
_atom_site_label
_atom_site_type_symbol
_atom_site_fract_x
_atom_site_fract_y
_atom_site_fract_z
Y1 Y 0.000 0.000 0.000
Ru1 Ru 0.667 0.333 0.310
Au1 Au 0.333 0.667 0.636
```